A relaxed structure of Y2InHg. Source: Alexandria via LeMat-Bulk, functional GGA-PBE.

Values from the calculation:
SG: Immm
E_form, eV/atom: 0.2201
Energy, eV per cell: -15.09

Geometry as CIF:
```
data_Y2InHg
_space_group_name_H-M_alt 'P 1'
_space_group_IT_number 1
_cell_length_a 7.163
_cell_length_b 7.163
_cell_length_c 7.163
_cell_angle_alpha 152.17
_cell_angle_beta 132.24
_cell_angle_gamma 56.18
loop_
_space_group_symop_operation_xyz
'x,y,z'
loop_
_atom_site_label
_atom_site_type_symbol
_atom_site_fract_x
_atom_site_fract_y
_atom_site_fract_z
Y1 Y 0.241 0.241 0.000
Y2 Y 0.759 0.759 0.000
In1 In 0.500 0.500 0.000
Hg1 Hg 0.000 0.000 0.000
```

---

A relaxed structure of YInHg. Source: Alexandria via LeMat-Bulk, functional GGA-PBE.

Values from the calculation:
SG: Pnma
E_form, eV/atom: -0.3957
Energy, eV per cell: -42.77

Geometry as CIF:
```
data_YInHg
_space_group_name_H-M_alt 'P 1'
_space_group_IT_number 1
_cell_length_a 6.595
_cell_length_b 4.988
_cell_length_c 9.327
_cell_angle_alpha 90.00
_cell_angle_beta 90.00
_cell_angle_gamma 90.00
loop_
_space_group_symop_operation_xyz
'x,y,z'
loop_
_atom_site_label
_atom_site_type_symbol
_atom_site_fract_x
_atom_site_fract_y
_atom_site_fract_z
Y1 Y 0.124 0.250 0.127
Y2 Y 0.376 0.750 0.627
Y3 Y 0.624 0.250 0.373
Y4 Y 0.876 0.750 0.873
In1 In 0.131 0.250 0.470
In2 In 0.369 0.750 0.970
In3 In 0.631 0.250 0.030
In4 In 0.869 0.750 0.530
Hg1 Hg 0.160 0.250 0.795
Hg2 Hg 0.340 0.750 0.295
Hg3 Hg 0.660 0.250 0.705
Hg4 Hg 0.840 0.750 0.205
```

---

A relaxed structure of YIn2Hg2. Source: Alexandria via LeMat-Bulk, functional GGA-PBE.

Values from the calculation:
Polymorph energy (0 for the lowest one), eV per atom: 0.055
SG: P4/mbm
E_form, eV/atom: -0.1160
Energy, eV per cell: -26.25

Geometry as CIF:
```
data_YIn2Hg2
_space_group_name_H-M_alt 'P 1'
_space_group_IT_number 1
_cell_length_a 8.375
_cell_length_b 8.375
_cell_length_c 3.672
_cell_angle_alpha 90.00
_cell_angle_beta 90.00
_cell_angle_gamma 90.00
loop_
_space_group_symop_operation_xyz
'x,y,z'
loop_
_atom_site_label
_atom_site_type_symbol
_atom_site_fract_x
_atom_site_fract_y
_atom_site_fract_z
Y1 Y 0.000 0.000 0.000
Y2 Y 0.500 0.500 0.000
In1 In 0.129 0.371 0.000
In2 In 0.371 0.871 0.000
In3 In 0.629 0.129 0.000
In4 In 0.871 0.629 0.000
Hg1 Hg 0.172 0.672 0.500
Hg2 Hg 0.328 0.172 0.500
Hg3 Hg 0.672 0.828 0.500
Hg4 Hg 0.828 0.328 0.500
```